P.
Here is P2PtWS after structural relaxation from the Alexandria database. Energies are from GGA-PBE.

It has space group P4/mmm (No. 123), with a = 4.731 Å, b = 4.731 Å, c = 4.484 Å, α = 90.00°, β = 90.00° and γ = 90.00°. The distinct sites, in fractional coordinates, are P at (0.000, 0.500, 0.000), Pt at (0.000, 0.000, 0.500), W at (0.500, 0.500, 0.000) and S at (0.500, 0.500, 0.500).

The calculation puts the density at 7.827 g/cm³.

Q.
Here is P2PtWS after structural relaxation from the Alexandria database. Energies are from GGA-PBE.

It has space group P4/mmm (No. 123), with a = 4.553 Å, b = 4.553 Å, c = 4.614 Å, α = 90.00°, β = 90.00° and γ = 90.00°. The distinct sites, in fractional coordinates, are P at (0.000, 0.500, 0.000), Pt at (0.000, 0.000, 0.000), W at (0.500, 0.500, 0.500) and S at (0.000, 0.000, 0.500).

The calculation puts the density at 8.209 g/cm³.

Q: Which of them is the most stable? A: P.

P.
Here is YPPtS2 after structural relaxation from the Alexandria database. Energies are from GGA-PBE.

It has space group P4/mmm (No. 123), with a = 4.839 Å, b = 4.839 Å, c = 4.534 Å, α = 90.00°, β = 90.00° and γ = 90.00°. The distinct sites, in fractional coordinates, are Y at (0.000, 0.000, 0.000), P at (0.500, 0.500, 0.000), Pt at (0.500, 0.500, 0.500) and S at (0.000, 0.500, 0.500).

The calculation puts the density at 5.929 g/cm³.

Q.
Here is YPPtS2 after structural relaxation from the Alexandria database. Energies are from GGA-PBE.

It has space group P4/mmm (No. 123), with a = 5.086 Å, b = 5.086 Å, c = 5.363 Å, α = 90.00°, β = 90.00° and γ = 90.00°. The distinct sites, in fractional coordinates, are Y at (0.000, 0.000, 0.000), P at (0.000, 0.000, 0.500), Pt at (0.500, 0.500, 0.500) and S at (0.000, 0.500, 0.000).

The calculation puts the density at 4.538 g/cm³.

Q: Which of them is the most stable? A: P.

P.
Here is ZnP2PtS after structural relaxation from the Alexandria database. Energies are from GGA-PBE.

It has space group P4/mmm (No. 123), with a = 4.581 Å, b = 4.581 Å, c = 5.147 Å, α = 90.00°, β = 90.00° and γ = 90.00°. The distinct sites, in fractional coordinates, are Zn at (0.000, 0.000, 0.000), P at (0.000, 0.500, 0.500), Pt at (0.500, 0.500, 0.500) and S at (0.500, 0.500, 0.000).

The calculation puts the density at 5.451 g/cm³.

Q.
Here is ZnP2PtS after structural relaxation from the Alexandria database. Energies are from GGA-PBE.

It has space group P4/mmm (No. 123), with a = 4.480 Å, b = 4.480 Å, c = 4.841 Å, α = 90.00°, β = 90.00° and γ = 90.00°. The distinct sites, in fractional coordinates, are Zn at (0.000, 0.000, 0.000), P at (0.000, 0.500, 0.000), Pt at (0.000, 0.000, 0.500) and S at (0.500, 0.500, 0.500).

The calculation puts the density at 6.060 g/cm³.

Q: Which of them is the most stable? A: P.